The following is a GGA-PBE calculation of SmGe6Pd12 after structural relaxation, from Alexandria via LeMat-Bulk.

As for the calculated total energy: -104.072 eV per formula unit. The calculation puts the magnetic moment at 0.0 μB per formula unit. As for the crystal system: trigonal.

The structure belongs to space group R-3m (No. 166, hexagonal axes); the cell edges are 11.5368, 11.5368 and 8.4930 Å and the angles 90.00°, 90.00° and 120.00°. The inequivalent atoms are Sm at (0.0000, 0.0000, 0.0000), Ge at (0.0403, 0.5202, 0.2635), Pd at (0.0000, 0.3775, 0.5000) and Pd at (0.0849, 0.1698, 0.3344).



The following is a GGA-PBE calculation of SmGePd3 after structural relaxation, from Alexandria via LeMat-Bulk.

Its energy above the most stable polymorph in this dataset is 138 meV/atom. As for the calculated total energy: -27.231 eV per formula unit. The calculation puts the magnetic moment at 0.0 μB per formula unit. As for the crystal system: cubic.

The structure belongs to space group Pm-3m (No. 221); the cell edges are 4.710, 4.710 and 4.710 Å and the angles 90.00°, 90.00° and 90.00°. The inequivalent atoms are Sm at (0.000, 0.000, 0.000), Ge at (0.500, 0.500, 0.500) and Pd at (0.000, 0.500, 0.500).



The following is a GGA-PBE calculation of SmGe4Pd4 after structural relaxation, from Alexandria via LeMat-Bulk.

As for the calculated total energy: -48.782 eV per formula unit. The calculation puts the magnetic moment at 0.0 μB per formula unit. As for the crystal system: tetragonal.

The structure belongs to space group P4_2/nmc (No. 137, origin choice 2); the cell edges are 6.253, 6.253 and 8.392 Å and the angles 90.00°, 90.00° and 90.00°. The inequivalent atoms are Sm at (0.250, 0.750, 0.250), Ge at (0.031, 0.250, 0.057) and Pd at (0.027, 0.250, 0.353).



The following is a GGA-PBE calculation of Sm3Ge4Pd2 after structural relaxation, from Alexandria via LeMat-Bulk.

Its energy above the most stable polymorph in this dataset is 5 meV/atom. As for the calculated total energy: -50.798 eV per formula unit. The calculation puts the magnetic moment at 0.0 μB per formula unit. As for the crystal system: monoclinic.

The structure belongs to space group C2/m (No. 12); the cell edges are 10.914, 4.350 and 8.440 Å and the angles 90.00°, 107.65° and 90.00°. The inequivalent atoms are Sm at (0.000, 0.000, 0.000), Sm at (0.129, 0.500, 0.695), Ge at (0.080, 0.000, 0.402), Ge at (0.209, 0.500, 0.066) and Pd at (0.185, 0.500, 0.357).



The following is a GGA-PBE calculation of SmGePd3 after structural relaxation, from Alexandria via LeMat-Bulk.

Its energy above the most stable polymorph in this dataset is 0 meV/atom. As for the calculated total energy: -27.919 eV per formula unit. The calculation puts the magnetic moment at 0.0 μB per formula unit. As for the crystal system: hexagonal.

The structure belongs to space group P6_3/mmc (No. 194); the cell edges are 6.2242, 6.2242 and 11.8319 Å and the angles 90.00°, 90.00° and 120.00°. The inequivalent atoms are Sm at (0.0000, 0.0000, 0.0000), Sm at (0.3333, 0.6667, 0.2500), Ge at (0.3333, 0.6667, 0.6382), Pd at (0.0000, 0.5000, 0.0000) and Pd at (0.1410, 0.2820, 0.7500).



The following is a GGA-PBE calculation of SmGe2Pd7 after structural relaxation, from Alexandria via LeMat-Bulk.

Its energy above the most stable polymorph in this dataset is 296 meV/atom. As for the calculated total energy: -53.509 eV per formula unit. The calculation puts the magnetic moment at 0.0 μB per formula unit. As for the crystal system: orthorhombic.

The structure belongs to space group Cmmm (No. 65); the cell edges are 7.363, 12.131 and 4.547 Å and the angles 90.00°, 90.00° and 90.00°. The inequivalent atoms are Sm at (0.000, 0.000, 0.000), Ge at (0.000, 0.302, 0.500), Pd at (0.000, 0.234, 0.000), Pd at (0.000, 0.500, 0.500) and Pd at (0.188, 0.124, 0.500).